# 1
This record from the Alexandria database describes Os2Rh after structural relaxation. The functional is PBE-GGA.

ρ = 17.2 g/cm3
V = 15.5 A^3/atom
D(E_F) = 1.084 states/eV per atom
crystal system = hexagonal
spin magnetization = 0.000 μB/atom
total energy = -112.7 eV for the cell shown
energy relative to the lowest polymorph listed for this composition = 0.535 eV per atom

Lattice parameters (Å, degrees): 5.089 5.089 8.317 90.00 90.00 120.00
Fractional coordinates of all 12 atoms:
Os (0.000, 0.000, 0.000)
Os (0.000, 0.000, 0.500)
Os (0.173, 0.345, 0.250)
Os (0.173, 0.827, 0.250)
Os (0.345, 0.173, 0.750)
Os (0.655, 0.827, 0.250)
Os (0.827, 0.173, 0.750)
Os (0.827, 0.655, 0.750)
Rh (0.333, 0.667, 0.588)
Rh (0.333, 0.667, 0.912)
Rh (0.667, 0.333, 0.088)
Rh (0.667, 0.333, 0.412)

# 2
This record from the Alexandria database describes Os2Rh after structural relaxation. The functional is PBE-GGA.

ρ = 16.9 g/cm3
V = 15.8 A^3/atom
D(E_F) = 1.053 states/eV per atom
crystal system = orthorhombic
spin magnetization = 0.000 μB/atom
total energy = -56.6 eV for the cell shown
energy relative to the lowest polymorph listed for this composition = 0.502 eV per atom

Lattice parameters (Å, degrees): 9.030 9.030 9.030 162.82 154.16 31.19
Fractional coordinates of all 6 atoms:
Os (0.289, 0.039, 0.250)
Os (0.439, 0.189, 0.250)
Os (0.561, 0.811, 0.750)
Os (0.711, 0.961, 0.750)
Rh (0.125, 0.375, 0.750)
Rh (0.875, 0.625, 0.250)

# 3
This record from the Alexandria database describes Os5Rh4 after structural relaxation. The functional is PBE-GGA.

ρ = 17.3 g/cm3
V = 14.6 A^3/atom
D(E_F) = 1.524 states/eV per atom
crystal system = hexagonal
spin magnetization = 0.000 μB/atom
total energy = -164.1 eV for the cell shown
energy relative to the lowest polymorph listed for this composition = 0.323 eV per atom

Lattice parameters (Å, degrees): 7.499 7.499 5.387 90.00 90.00 120.00
Fractional coordinates of all 18 atoms:
Os (0.000, 0.334, 0.250)
Os (0.000, 0.666, 0.750)
Os (0.333, 0.667, 0.000)
Os (0.333, 0.667, 0.500)
Os (0.334, 0.000, 0.250)
Os (0.334, 0.334, 0.750)
Os (0.666, 0.000, 0.750)
Os (0.666, 0.666, 0.250)
Os (0.667, 0.333, 0.000)
Os (0.667, 0.333, 0.500)
Rh (0.000, 0.000, 0.000)
Rh (0.000, 0.000, 0.500)
Rh (0.000, 0.336, 0.750)
Rh (0.000, 0.664, 0.250)
Rh (0.336, 0.000, 0.750)
Rh (0.336, 0.336, 0.250)
Rh (0.664, 0.000, 0.250)
Rh (0.664, 0.664, 0.750)

# 4
This record from the Alexandria database describes Os5Rh3 after structural relaxation. The functional is PBE-GGA.

ρ = 18.4 g/cm3
V = 14.2 A^3/atom
D(E_F) = 0.868 states/eV per atom
crystal system = orthorhombic
spin magnetization = 0.000 μB/atom
total energy = -77.3 eV for the cell shown
energy relative to the lowest polymorph listed for this composition = 0.000 eV per atom

Lattice parameters (Å, degrees): 5.447 5.447 3.840 90.00 90.00 90.69
Fractional coordinates of all 8 atoms:
Os (0.000, 0.000, 0.000)
Os (0.000, 0.500, 0.000)
Os (0.248, 0.752, 0.500)
Os (0.500, 0.000, 0.000)
Os (0.752, 0.248, 0.500)
Rh (0.249, 0.249, 0.500)
Rh (0.500, 0.500, 0.000)
Rh (0.751, 0.751, 0.500)

# 5
This record from the Alexandria database describes Os3Rh5 after structural relaxation. The functional is PBE-GGA.

ρ = 15.9 g/cm3
V = 14.2 A^3/atom
D(E_F) = 1.074 states/eV per atom
crystal system = orthorhombic
spin magnetization = 0.000 μB/atom
total energy = -69.7 eV for the cell shown
energy relative to the lowest polymorph listed for this composition = 0.063 eV per atom

Lattice parameters (Å, degrees): 5.440 5.440 3.838 90.00 90.00 90.78
Fractional coordinates of all 8 atoms:
Os (0.000, 0.000, 0.000)
Os (0.247, 0.247, 0.500)
Os (0.753, 0.753, 0.500)
Rh (0.000, 0.500, 0.000)
Rh (0.247, 0.753, 0.500)
Rh (0.500, 0.000, 0.000)
Rh (0.500, 0.500, 0.000)
Rh (0.753, 0.247, 0.500)

# 6
This record from the Alexandria database describes Os4Rh5 after structural relaxation. The functional is PBE-GGA.

ρ = 16.1 g/cm3
V = 14.6 A^3/atom
D(E_F) = 1.707 states/eV per atom
crystal system = hexagonal
spin magnetization = 0.000 μB/atom
total energy = -156.6 eV for the cell shown
energy relative to the lowest polymorph listed for this composition = 0.333 eV per atom

Lattice parameters (Å, degrees): 7.511 7.511 5.379 90.00 90.00 120.00
Fractional coordinates of all 18 atoms:
Os (0.000, 0.000, 0.000)
Os (0.000, 0.000, 0.500)
Os (0.000, 0.332, 0.250)
Os (0.000, 0.668, 0.750)
Os (0.332, 0.000, 0.250)
Os (0.332, 0.332, 0.750)
Os (0.668, 0.000, 0.750)
Os (0.668, 0.668, 0.250)
Rh (0.000, 0.332, 0.750)
Rh (0.000, 0.668, 0.250)
Rh (0.332, 0.000, 0.750)
Rh (0.332, 0.332, 0.250)
Rh (0.333, 0.667, 0.000)
Rh (0.333, 0.667, 0.500)
Rh (0.667, 0.333, 0.000)
Rh (0.667, 0.333, 0.500)
Rh (0.668, 0.000, 0.250)
Rh (0.668, 0.668, 0.750)

# 7
This record from the Alexandria database describes Os2Rh after structural relaxation. The functional is PBE-GGA.

ρ = 18.7 g/cm3
V = 14.3 A^3/atom
D(E_F) = 1.099 states/eV per atom
crystal system = tetragonal
spin magnetization = 0.000 μB/atom
total energy = -29.5 eV for the cell shown
energy relative to the lowest polymorph listed for this composition = 0.079 eV per atom

Lattice parameters (Å, degrees): 6.097 6.097 6.097 154.18 154.18 36.83
Fractional coordinates of all 3 atoms:
Os (0.171, 0.171, 0.000)
Os (0.829, 0.829, 0.000)
Rh (0.500, 0.500, 0.000)

# 8
This record from the Alexandria database describes Os2Rh3 after structural relaxation. The functional is PBE-GGA.

ρ = 15.7 g/cm3
V = 14.6 A^3/atom
D(E_F) = 1.850 states/eV per atom
crystal system = trigonal
spin magnetization = 0.000 μB/atom
total energy = -41.8 eV for the cell shown
energy relative to the lowest polymorph listed for this composition = 0.328 eV per atom

Lattice parameters (Å, degrees): 5.104 5.104 5.104 50.44 50.44 50.44
Fractional coordinates of all 5 atoms:
Os (0.101, 0.101, 0.101)
Os (0.899, 0.899, 0.899)
Rh (0.302, 0.302, 0.302)
Rh (0.500, 0.500, 0.500)
Rh (0.698, 0.698, 0.698)

# 9
This record from the Alexandria database describes OsRh after structural relaxation. The functional is PBE-GGA.

ρ = 8.9 g/cm3
V = 27.3 A^3/atom
D(E_F) = 0.570 states/eV per atom
crystal system = cubic
spin magnetization = 0.000 μB/atom
total energy = -61.8 eV for the cell shown

Lattice parameters (Å, degrees): 6.571 6.571 6.571 109.47 109.47 109.47
Fractional coordinates of all 8 atoms:
Os (0.000, 0.000, 0.312)
Os (0.000, 0.312, 0.000)
Os (0.312, 0.000, 0.000)
Os (0.688, 0.688, 0.688)
Rh (0.000, 0.000, 0.682)
Rh (0.000, 0.682, 0.000)
Rh (0.318, 0.318, 0.318)
Rh (0.682, 0.000, 0.000)

# 10
This record from the Alexandria database describes Os2Rh3 after structural relaxation. The functional is PBE-GGA.

ρ = 14.1 g/cm3
V = 16.2 A^3/atom
D(E_F) = 1.641 states/eV per atom
crystal system = trigonal
spin magnetization = 0.000 μB/atom
total energy = -41.4 eV for the cell shown
energy relative to the lowest polymorph listed for this composition = 0.395 eV per atom

Lattice parameters (Å, degrees): 4.236 4.236 5.225 90.00 90.00 120.00
Fractional coordinates of all 5 atoms:
Os (0.333, 0.667, 0.372)
Os (0.667, 0.333, 0.628)
Rh (0.000, 0.000, 0.500)
Rh (0.333, 0.667, 0.875)
Rh (0.667, 0.333, 0.125)

# 11
This record from the Alexandria database describes Os4Rh5 after structural relaxation. The functional is PBE-GGA.

ρ = 16.5 g/cm3
V = 14.3 A^3/atom
D(E_F) = 0.906 states/eV per atom
crystal system = tetragonal
spin magnetization = 0.000 μB/atom
total energy = -81.3 eV for the cell shown
energy relative to the lowest polymorph listed for this composition = 0.000 eV per atom

Lattice parameters (Å, degrees): 6.093 6.093 6.093 95.69 95.69 143.29
Fractional coordinates of all 9 atoms:
Os (0.000, 0.341, 0.341)
Os (0.000, 0.659, 0.659)
Os (0.341, 0.000, 0.341)
Os (0.659, 0.000, 0.659)
Rh (0.000, 0.000, 0.000)
Rh (0.332, 0.332, 0.663)
Rh (0.332, 0.668, 0.000)
Rh (0.668, 0.332, 0.000)
Rh (0.668, 0.668, 0.337)